Density functional theory data (GGA-PBE) for a relaxed AcPrGePt crystal.

Cell and atoms, written as POSCAR:
```
AcPrGePt
1.0
4.865 0.000 0.000
0.000 4.865 0.000
0.000 0.000 10.619
Ac Pr Ge Pt
2 2 2 2
Direct
0.250 0.250 0.166
0.750 0.750 0.834
0.250 0.750 0.500
0.750 0.250 0.500
0.250 0.250 0.880
0.750 0.750 0.120
0.250 0.250 0.655
0.750 0.750 0.345
```

M_tot: 0.000 μB/atom
V: 31.4 Å³ per atom
calculated density: 8.40 g/cm3
crystal system: tetragonal
excess energy over the best structure of this formula in the dataset: 40 kJ/mol of formula units